# 1
Compound: BaMgTa2
Source: Alexandria via LeMat-Bulk
Functional: GGA-PBEsol
Structure: optimized geometry

Properties
Raw total energy in eV/cell: -101.84
Total moment in μB/f.u.: 0.0
Density of states at the Fermi level in states/eV per cell: 2.63

abc: 7.0684 7.0684 7.0684
angles: 90.00 90.00 90.00
Closest atoms and distances in Å follow each position.
Space group F-43m (No. 216)
Inequivalent atoms, fractional coordinates:
Ba  0.0000  0.0000  0.0000 [4 per cell]  4 Mg 3.06, 4 Ta 3.06
Mg  0.2500  0.2500  0.2500 [4 per cell]  4 Ba 3.06, 4 Ta 3.06
Ta  0.0000  0.0000  0.5000 [4 per cell]  4 Ta 3.06, 4 Mg 3.06
Ta  0.2500  0.2500  0.7500 [4 per cell]  4 Ba 3.06, 4 Ta 3.06

***

# 2
Compound: BaMgTa2
Source: Alexandria via LeMat-Bulk
Functional: GGA-PBEsol
Structure: optimized geometry

Properties
Raw total energy in eV/cell: -52.19
Total moment in μB/f.u.: 0.0
Density of states at the Fermi level in states/eV per cell: 6.62

abc: 9.4248 3.0189 7.3062
angles: 90.00 94.03 90.00
Closest atoms and distances in Å follow each position.
Space group Cm (No. 8)
Inequivalent atoms, fractional coordinates:
Ba  0.0000  0.0000  0.0000 [2 per cell]  2 Ba 3.02, 1 Ta 3.35
Mg  0.2438  0.0000  0.6673 [2 per cell]  5 Ta 2.90-3.12, 2 Mg 3.02
Ta  0.0097  0.5000  0.4368 [2 per cell]  3 Ta 2.64-2.76
Ta  0.2722  0.5000  0.3322 [2 per cell]  3 Ta 2.64-2.76, 2 Mg 2.90

***

# 3
Compound: BaMgTa2
Source: Alexandria via LeMat-Bulk
Functional: GGA-PBEsol
Structure: optimized geometry

Properties
Raw total energy in eV/cell: -75.67
Total moment in μB/f.u.: 0.0
Density of states at the Fermi level in states/eV per cell: 17.78

abc: 3.0260 3.0260 33.8679
angles: 90.00 90.00 120.00
Closest atoms and distances in Å follow each position.
Space group R-3m (No. 166, hexagonal axes)
Inequivalent atoms, fractional coordinates:
Ba  0.0000  0.0000  0.0000 [3 per cell]  6 Ba 3.03
Mg  0.0000  0.0000  0.5000 [3 per cell]  6 Mg 3.03, 6 Ta 3.07
Ta  0.0000  0.0000  0.2412 [6 per cell]  6 Ta 3.03, 3 Mg 3.07

***

| no. | ΔE_f (kJ per mole of atoms) |
| --- | --- |
| 1 | 84.6 |
| 2 | 69.3 |
| 3 | 90.3 |